Li2Zn2Ni: relaxed, GGA-PBE.

## Properties
For the excess energy over the best structure of this formula in the dataset, the calculation gives 0.016 eV/atom. The density of states at the Fermi level is 2.223 states/eV per cell. The calculation puts the formation energy at -0.18 eV per atom. The value obtained for the spin magnetization is 0.0 μB per cell.

Unit cell a=3.574 b=5.349 c=8.482 alpha=119.06 beta=102.16 gamma=90.00
Atoms (fractional coordinates):
Zn1 0.409 0.862 0.819
Zn2 0.591 0.138 0.181
Zn3 0.409 0.362 0.819
Ni1 0.000 0.250 0.000
Li1 0.190 0.537 0.379
Zn4 0.591 0.638 0.181
Li2 0.810 0.463 0.621
Li3 0.190 0.037 0.379
Ni2 0.000 0.750 0.000
Li4 0.810 0.963 0.621